1.
# RbNd2Sc PBE relaxed
data_RbNd2Sc
_chemical_formula_sum 'Rb3 Nd6 Sc3'
_cell_length_a 3.6359
_cell_length_b 3.6359
_cell_length_c 39.6369
_cell_angle_alpha 90.00
_cell_angle_beta 90.00
_cell_angle_gamma 120.00
_space_group_name_H-M_alt 'R -3 m'
_space_group_IT_number 166
_space_group_name_Hall '-R 3 2"'
loop_
_atom_site_label
_atom_site_type_symbol
_atom_site_fract_x
_atom_site_fract_y
_atom_site_fract_z
Rb1 Rb 0.0000 0.0000 0.0000
Nd1 Nd 0.0000 0.0000 0.0991
Sc1 Sc 0.0000 0.0000 0.5000
# M_tot (μB/f.u.): 0.0
# E (eV/atom): -3.921
# Calculated formation energy (kJ/mol of atoms): 27.7
# Crystal system: trigonal

***

2.
# Rb3Nd3ScSe8 PBE relaxed
data_Rb3Nd3ScSe8
_chemical_formula_sum 'Rb6 Nd6 Sc2 Se16'
_cell_length_a 14.733
_cell_length_b 8.498
_cell_length_c 9.564
_cell_angle_alpha 90.00
_cell_angle_beta 120.95
_cell_angle_gamma 90.00
_space_group_name_H-M_alt 'C 1 2/m 1'
_space_group_IT_number 12
loop_
_space_group_symop_operation_xyz
'x,y,z'
'-x,-y,-z'
'-x,y,-z'
'x,-y,z'
'x+1/2,y+1/2,z'
'-x+1/2,-y+1/2,-z'
'-x+1/2,y+1/2,-z'
'x+1/2,-y+1/2,z'
loop_
_atom_site_label
_atom_site_type_symbol
_atom_site_fract_x
_atom_site_fract_y
_atom_site_fract_z
Rb1 Rb 0.000 0.000 0.000
Rb2 Rb 0.250 0.250 0.000
Nd1 Nd 0.000 0.500 0.500
Nd2 Nd 0.250 0.250 0.500
Sc1 Sc 0.000 0.000 0.500
Se1 Se 0.015 0.235 0.310
Se2 Se 0.220 0.000 0.690
Se3 Se 0.234 0.500 0.703
# M_tot (μB/f.u.): 0.0
# E (eV/atom): -5.039
# Crystal system: monoclinic

***

3.
# RbNdScSe3 PBE relaxed
data_RbNdScSe3
_chemical_formula_sum 'Rb2 Nd2 Sc2 Se6'
_cell_length_a 9.404
_cell_length_b 4.484
_cell_length_c 10.397
_cell_angle_alpha 90.00
_cell_angle_beta 107.84
_cell_angle_gamma 90.00
_space_group_name_H-M_alt 'P 1 21/m 1'
_space_group_IT_number 11
loop_
_space_group_symop_operation_xyz
'x,y,z'
'-x,-y,-z'
'-x,y+1/2,-z'
'x,-y+1/2,z'
loop_
_atom_site_label
_atom_site_type_symbol
_atom_site_fract_x
_atom_site_fract_y
_atom_site_fract_z
Rb1 Rb 0.204 0.250 0.220
Nd1 Nd 0.338 0.750 0.864
Sc1 Sc 0.088 0.250 0.607
Se1 Se 0.116 0.250 0.861
Se2 Se 0.199 0.750 0.548
Se3 Se 0.462 0.750 0.158
# M_tot (μB/f.u.): 0.0
# E (eV/atom): -5.326
# Crystal system: monoclinic

***

4.
# Rb2NdScSe4 PBE relaxed
data_Rb2NdScSe4
_chemical_formula_sum 'Rb2 Nd1 Sc1 Se4'
_cell_length_a 7.306
_cell_length_b 4.220
_cell_length_c 8.342
_cell_angle_alpha 90.00
_cell_angle_beta 106.94
_cell_angle_gamma 90.00
_space_group_name_H-M_alt 'P 1 2/m 1'
_space_group_IT_number 10
loop_
_space_group_symop_operation_xyz
'x,y,z'
'-x,-y,-z'
'-x,y,-z'
'x,-y,z'
loop_
_atom_site_label
_atom_site_type_symbol
_atom_site_fract_x
_atom_site_fract_y
_atom_site_fract_z
Rb1 Rb 0.000 0.000 0.000
Rb2 Rb 0.500 0.500 0.000
Nd1 Nd 0.000 0.500 0.500
Sc1 Sc 0.500 0.000 0.500
Se1 Se 0.251 0.000 0.697
Se2 Se 0.287 0.500 0.311
# M_tot (μB/f.u.): 0.0
# E (eV/atom): -5.011
# Crystal system: monoclinic